Below is an optimized crystal structure of Pr6CuRh2I3, with properties calculated at the PBE level.

Cell: 7.3440 7.3440 8.5413 Å, 98.25 98.25 119.99°
Closest atoms and distances in Å follow each position.
Sites, in units of the cell vectors:
Pr1 0.0961 0.4377 0.8128  2 Rh 2.86, 1 Cu 2.94
Pr2 0.2208 0.2208 0.1867  2 Rh 2.86, 1 Cu 2.94
Pr3 0.4377 0.0961 0.8128  2 Rh 2.86, 1 Cu 2.94
Pr4 0.5623 0.9039 0.1872  2 Rh 2.86, 1 Cu 2.94
Pr5 0.7792 0.7792 0.8133  2 Rh 2.86, 1 Cu 2.94
Pr6 0.9039 0.5623 0.1872  2 Rh 2.86, 1 Cu 2.94
Cu1 0.5000 0.5000 0.0000  6 Pr 2.94
Rh1 0.1667 0.8333 0.0000  6 Pr 2.86
Rh2 0.8333 0.1667 0.0000  6 Pr 2.86
I1 0.0000 0.0000 0.5000  6 Pr 3.50-3.56
I2 0.3343 0.6657 0.5000  6 Pr 3.51-3.56
I3 0.6657 0.3343 0.5000  6 Pr 3.51-3.56

## Properties
The value obtained for the raw total energy is -5.140 eV per atom. The calculated volume is 31.85 A^3/atom. The formation energy (no corrections) is -0.7961 eV/atom.